Entry 1:
# MgBe2In, relaxed, DFT GGA-PBE
data_MgBe2In
_chemical_formula_sum 'Mg2 Be4 In2'
_cell_length_a 7.546
_cell_length_b 2.905
_cell_length_c 6.658
_cell_angle_alpha 90.00
_cell_angle_beta 107.25
_cell_angle_gamma 90.00
_space_group_name_H-M_alt 'C 1 m 1'
_space_group_IT_number 8
loop_
_space_group_symop_operation_xyz
'x,y,z'
'x,-y,z'
'x+1/2,y+1/2,z'
'x+1/2,-y+1/2,z'
loop_
_atom_site_label
_atom_site_fract_x
_atom_site_fract_y
_atom_site_fract_z
Mg1 0.000 0.000 0.000
Be1 0.003 0.500 0.675
Be2 0.232 0.000 0.736
In1 0.222 0.500 0.401
# final energy: -2.61 eV/atom
# polymorph energy (0 for the lowest one): 0.062 eV per atom


Entry 2:
# Mg2BeIn2, relaxed, DFT GGA-PBE
data_Mg2BeIn2
_chemical_formula_sum 'Mg4 Be2 In4'
_cell_length_a 6.796
_cell_length_b 6.796
_cell_length_c 4.666
_cell_angle_alpha 90.00
_cell_angle_beta 90.00
_cell_angle_gamma 90.00
_space_group_name_H-M_alt 'P 4/m b m'
_space_group_IT_number 127
_space_group_name_Hall '-P 4 2ab'
loop_
_atom_site_label
_atom_site_fract_x
_atom_site_fract_y
_atom_site_fract_z
Mg1 0.162 0.338 0.000
Be1 0.000 0.000 0.500
In1 0.153 0.653 0.500
# final energy: -2.28 eV/atom
# polymorph energy (0 for the lowest one): 0.000 eV per atom


Entry 3:
# Mg2BeIn2, relaxed, DFT GGA-PBE
data_Mg2BeIn2
_chemical_formula_sum 'Mg4 Be2 In4'
_cell_length_a 6.921
_cell_length_b 6.921
_cell_length_c 4.665
_cell_angle_alpha 90.00
_cell_angle_beta 90.00
_cell_angle_gamma 90.00
_space_group_name_H-M_alt 'P 4/m b m'
_space_group_IT_number 127
_space_group_name_Hall '-P 4 2ab'
loop_
_atom_site_label
_atom_site_fract_x
_atom_site_fract_y
_atom_site_fract_z
Mg1 0.158 0.342 0.000
Be1 0.000 0.000 0.000
In1 0.160 0.660 0.500
# final energy: -2.17 eV/atom
# polymorph energy (0 for the lowest one): 0.105 eV per atom


Entry 4:
# MgBe2In, relaxed, DFT GGA-PBE
data_MgBe2In
_chemical_formula_sum 'Mg1 Be2 In1'
_cell_length_a 3.423
_cell_length_b 3.423
_cell_length_c 5.452
_cell_angle_alpha 90.00
_cell_angle_beta 90.00
_cell_angle_gamma 90.00
_space_group_name_H-M_alt 'P 4/m m m'
_space_group_IT_number 123
_space_group_name_Hall '-P 4 2'
loop_
_atom_site_label
_atom_site_fract_x
_atom_site_fract_y
_atom_site_fract_z
Mg1 0.000 0.000 0.000
Be1 0.500 0.500 0.242
In1 0.000 0.000 0.500
# final energy: -2.45 eV/atom
# polymorph energy (0 for the lowest one): 0.224 eV per atom


Entry 5:
# MgBe2In, relaxed, DFT GGA-PBE
data_MgBe2In
_chemical_formula_sum 'Mg4 Be8 In4'
_cell_length_a 6.282
_cell_length_b 6.282
_cell_length_c 6.282
_cell_angle_alpha 90.00
_cell_angle_beta 90.00
_cell_angle_gamma 90.00
_space_group_name_H-M_alt 'F m -3 m'
_space_group_IT_number 225
_space_group_name_Hall '-F 4 2 3'
loop_
_atom_site_label
_atom_site_fract_x
_atom_site_fract_y
_atom_site_fract_z
Mg1 0.000 0.000 0.000
Be1 0.250 0.250 0.250
In1 0.000 0.000 0.500
# final energy: -2.46 eV/atom
# polymorph energy (0 for the lowest one): 0.214 eV per atom


Entry 6:
# MgBe2In, relaxed, DFT GGA-PBE
data_MgBe2In
_chemical_formula_sum 'Mg1 Be2 In1'
_cell_length_a 3.666
_cell_length_b 3.816
_cell_length_c 4.860
_cell_angle_alpha 90.00
_cell_angle_beta 110.73
_cell_angle_gamma 90.00
_space_group_name_H-M_alt 'P 1 m 1'
_space_group_IT_number 6
loop_
_space_group_symop_operation_xyz
'x,y,z'
'x,-y,z'
loop_
_atom_site_label
_atom_site_fract_x
_atom_site_fract_y
_atom_site_fract_z
Mg1 0.000 0.000 0.000
Be1 0.581 0.500 0.176
Be2 0.696 0.000 0.409
In1 0.280 0.500 0.589
# final energy: -2.67 eV/atom
# polymorph energy (0 for the lowest one): 0.000 eV per atom


Entry 7:
# MgBe2In, relaxed, DFT GGA-PBE
data_MgBe2In
_chemical_formula_sum 'Mg2 Be4 In2'
_cell_length_a 8.603
_cell_length_b 3.239
_cell_length_c 4.828
_cell_angle_alpha 90.00
_cell_angle_beta 96.48
_cell_angle_gamma 90.00
_space_group_name_H-M_alt 'C 1 2/m 1'
_space_group_IT_number 12
loop_
_space_group_symop_operation_xyz
'x,y,z'
'-x,-y,-z'
'-x,y,-z'
'x,-y,z'
'x+1/2,y+1/2,z'
'-x+1/2,-y+1/2,-z'
'-x+1/2,y+1/2,-z'
'x+1/2,-y+1/2,z'
loop_
_atom_site_label
_atom_site_fract_x
_atom_site_fract_y
_atom_site_fract_z
Mg1 0.000 0.000 0.000
Be1 0.233 0.500 0.175
In1 0.000 0.500 0.500
# final energy: -2.47 eV/atom
# polymorph energy (0 for the lowest one): 0.206 eV per atom


Entry 8:
# MgBe2In, relaxed, DFT GGA-PBE
data_MgBe2In
_chemical_formula_sum 'Mg2 Be4 In2'
_cell_length_a 3.943
_cell_length_b 3.943
_cell_length_c 8.092
_cell_angle_alpha 90.00
_cell_angle_beta 90.00
_cell_angle_gamma 90.00
_space_group_name_H-M_alt 'I -4 m 2'
_space_group_IT_number 119
_space_group_name_Hall 'I -4 -2'
loop_
_atom_site_label
_atom_site_fract_x
_atom_site_fract_y
_atom_site_fract_z
Mg1 0.000 0.000 0.000
Be1 0.000 0.000 0.500
Be2 0.000 0.500 0.750
In1 0.000 0.500 0.250
# final energy: -2.48 eV/atom
# polymorph energy (0 for the lowest one): 0.187 eV per atom


Entry 9:
# MgBe2In, relaxed, DFT GGA-PBE
data_MgBe2In
_chemical_formula_sum 'Mg3 Be6 In3'
_cell_length_a 3.0501
_cell_length_b 3.0501
_cell_length_c 24.8998
_cell_angle_alpha 90.00
_cell_angle_beta 90.00
_cell_angle_gamma 120.00
_space_group_name_H-M_alt 'R 3 m'
_space_group_IT_number 160
_space_group_name_Hall 'R 3 -2"'
loop_
_atom_site_label
_atom_site_fract_x
_atom_site_fract_y
_atom_site_fract_z
Mg1 0.0000 0.0000 0.0000
Be1 0.0000 0.0000 0.4737
Be2 0.0000 0.0000 0.7478
In1 0.0000 0.0000 0.2278
# final energy: -2.46 eV/atom
# polymorph energy (0 for the lowest one): 0.212 eV per atom


Entry 10:
# MgBe2In, relaxed, DFT GGA-PBE
data_MgBe2In
_chemical_formula_sum 'Mg2 Be4 In2'
_cell_length_a 4.088
_cell_length_b 4.088
_cell_length_c 7.524
_cell_angle_alpha 90.00
_cell_angle_beta 90.00
_cell_angle_gamma 90.00
_space_group_name_H-M_alt 'I 4/m m m'
_space_group_IT_number 139
_space_group_name_Hall '-I 4 2'
loop_
_atom_site_label
_atom_site_fract_x
_atom_site_fract_y
_atom_site_fract_z
Mg1 0.000 0.000 0.000
Be1 0.000 0.500 0.250
In1 0.000 0.000 0.500
# final energy: -2.48 eV/atom
# polymorph energy (0 for the lowest one): 0.188 eV per atom


Entry 11:
# MgBe2In, relaxed, DFT GGA-PBE
data_MgBe2In
_chemical_formula_sum 'Mg2 Be4 In2'
_cell_length_a 5.804
_cell_length_b 5.702
_cell_length_c 3.771
_cell_angle_alpha 90.00
_cell_angle_beta 90.42
_cell_angle_gamma 90.00
_space_group_name_H-M_alt 'C 1 2/m 1'
_space_group_IT_number 12
loop_
_space_group_symop_operation_xyz
'x,y,z'
'-x,-y,-z'
'-x,y,-z'
'x,-y,z'
'x+1/2,y+1/2,z'
'-x+1/2,-y+1/2,-z'
'-x+1/2,y+1/2,-z'
'x+1/2,-y+1/2,z'
loop_
_atom_site_label
_atom_site_fract_x
_atom_site_fract_y
_atom_site_fract_z
Mg1 0.000 0.000 0.000
Be1 0.250 0.250 0.500
In1 0.000 0.500 0.000
# final energy: -2.51 eV/atom
# polymorph energy (0 for the lowest one): 0.166 eV per atom


Entry 12:
# Mg2BeInMo, relaxed, DFT GGA-PBE
data_Mg2BeInMo
_chemical_formula_sum 'Mg2 Be1 In1 Mo1'
_cell_length_a 5.215
_cell_length_b 5.215
_cell_length_c 5.266
_cell_angle_alpha 90.00
_cell_angle_beta 90.00
_cell_angle_gamma 90.00
_space_group_name_H-M_alt 'P 4/m m m'
_space_group_IT_number 123
_space_group_name_Hall '-P 4 2'
loop_
_atom_site_label
_atom_site_fract_x
_atom_site_fract_y
_atom_site_fract_z
Mg1 0.000 0.500 0.000
Be1 0.000 0.000 0.500
In1 0.500 0.500 0.500
Mo1 0.500 0.500 0.000
# final energy: -2.70 eV/atom


Entry 13:
# MgBeInOs2, relaxed, DFT GGA-PBE
data_MgBeInOs2
_chemical_formula_sum 'Mg1 Be1 In1 Os2'
_cell_length_a 4.272
_cell_length_b 4.272
_cell_length_c 4.461
_cell_angle_alpha 90.00
_cell_angle_beta 90.00
_cell_angle_gamma 90.00
_space_group_name_H-M_alt 'P 4/m m m'
_space_group_IT_number 123
_space_group_name_Hall '-P 4 2'
loop_
_atom_site_label
_atom_site_fract_x
_atom_site_fract_y
_atom_site_fract_z
Mg1 0.000 0.000 0.000
Be1 0.500 0.500 0.500
In1 0.500 0.500 0.000
Os1 0.000 0.500 0.500
# final energy: -5.50 eV/atom


Entry 14:
# PmMgBeIn, relaxed, DFT GGA-PBE
data_PmMgBeIn
_chemical_formula_sum 'Pm4 Mg4 Be4 In4'
_cell_length_a 7.063
_cell_length_b 7.063
_cell_length_c 7.063
_cell_angle_alpha 90.00
_cell_angle_beta 90.00
_cell_angle_gamma 90.00
_space_group_name_H-M_alt 'F -4 3 m'
_space_group_IT_number 216
_space_group_name_Hall 'F -4 2 3'
loop_
_atom_site_label
_atom_site_fract_x
_atom_site_fract_y
_atom_site_fract_z
Pm1 0.000 0.000 0.000
Mg1 0.000 0.000 0.500
Be1 0.250 0.250 0.250
In1 0.250 0.250 0.750
# final energy: -3.23 eV/atom


Entry 15:
# MgBe2InRe, relaxed, DFT GGA-PBE
data_MgBe2InRe
_chemical_formula_sum 'Mg1 Be2 In1 Re1'
_cell_length_a 4.308
_cell_length_b 4.308
_cell_length_c 4.754
_cell_angle_alpha 90.00
_cell_angle_beta 90.00
_cell_angle_gamma 90.00
_space_group_name_H-M_alt 'P 4/m m m'
_space_group_IT_number 123
_space_group_name_Hall '-P 4 2'
loop_
_atom_site_label
_atom_site_fract_x
_atom_site_fract_y
_atom_site_fract_z
Mg1 0.000 0.000 0.000
Be1 0.000 0.500 0.000
In1 0.500 0.500 0.500
Re1 0.000 0.000 0.500
# final energy: -3.26 eV/atom


Entry 16:
# Mg2ScBeIn, relaxed, DFT GGA-PBE
data_Mg2ScBeIn
_chemical_formula_sum 'Mg2 Sc1 Be1 In1'
_cell_length_a 4.720
_cell_length_b 4.720
_cell_length_c 4.915
_cell_angle_alpha 90.00
_cell_angle_beta 90.00
_cell_angle_gamma 90.00
_space_group_name_H-M_alt 'P 4/m m m'
_space_group_IT_number 123
_space_group_name_Hall '-P 4 2'
loop_
_atom_site_label
_atom_site_fract_x
_atom_site_fract_y
_atom_site_fract_z
Mg1 0.000 0.500 0.000
Sc1 0.000 0.000 0.500
Be1 0.000 0.000 0.000
In1 0.500 0.500 0.500
# final energy: -3.05 eV/atom


Entry 17:
# Mg2BeVIn, relaxed, DFT GGA-PBE
data_Mg2BeVIn
_chemical_formula_sum 'Mg2 Be1 V1 In1'
_cell_length_a 4.659
_cell_length_b 4.659
_cell_length_c 4.498
_cell_angle_alpha 90.00
_cell_angle_beta 90.00
_cell_angle_gamma 90.00
_space_group_name_H-M_alt 'P 4/m m m'
_space_group_IT_number 123
_space_group_name_Hall '-P 4 2'
loop_
_atom_site_label
_atom_site_fract_x
_atom_site_fract_y
_atom_site_fract_z
Mg1 0.000 0.500 0.000
Be1 0.000 0.000 0.000
V1 0.500 0.500 0.500
In1 0.000 0.000 0.500
# final energy: -2.94 eV/atom


Entry 18:
# MgBe2VIn, relaxed, DFT GGA-PBE
data_MgBe2VIn
_chemical_formula_sum 'Mg1 Be2 V1 In1'
_cell_length_a 4.349
_cell_length_b 4.349
_cell_length_c 4.727
_cell_angle_alpha 90.00
_cell_angle_beta 90.00
_cell_angle_gamma 90.00
_space_group_name_H-M_alt 'P 4/m m m'
_space_group_IT_number 123
_space_group_name_Hall '-P 4 2'
loop_
_atom_site_label
_atom_site_fract_x
_atom_site_fract_y
_atom_site_fract_z
Mg1 0.000 0.000 0.000
Be1 0.000 0.500 0.000
V1 0.000 0.000 0.500
In1 0.500 0.500 0.500
# final energy: -2.83 eV/atom


Entry 19:
# MgBe2InW, relaxed, DFT GGA-PBE
data_MgBe2InW
_chemical_formula_sum 'Mg1 Be2 In1 W1'
_cell_length_a 4.503
_cell_length_b 4.503
_cell_length_c 5.129
_cell_angle_alpha 90.00
_cell_angle_beta 90.00
_cell_angle_gamma 90.00
_space_group_name_H-M_alt 'P 4/m m m'
_space_group_IT_number 123
_space_group_name_Hall '-P 4 2'
loop_
_atom_site_label
_atom_site_fract_x
_atom_site_fract_y
_atom_site_fract_z
Mg1 0.000 0.000 0.000
Be1 0.000 0.500 0.500
In1 0.500 0.500 0.000
W1 0.000 0.000 0.500
# final energy: -3.63 eV/atom


Entry 20:
# MnBeIn3, relaxed, DFT GGA-PBE
data_MnBeIn3
_chemical_formula_sum 'Mn1 Be1 In3'
_cell_length_a 5.081
_cell_length_b 5.081
_cell_length_c 5.081
_cell_angle_alpha 90.00
_cell_angle_beta 90.00
_cell_angle_gamma 90.00
_space_group_name_H-M_alt 'P m -3 m'
_space_group_IT_number 221
_space_group_name_Hall '-P 4 2 3'
loop_
_atom_site_label
_atom_site_fract_x
_atom_site_fract_y
_atom_site_fract_z
Mn1 0.000 0.000 0.000
Be1 0.500 0.500 0.500
In1 0.000 0.000 0.500
# final energy: -3.43 eV/atom
# polymorph energy (0 for the lowest one): 0.198 eV per atom


Entry 21:
# MnBeIn3, relaxed, DFT GGA-PBE
data_MnBeIn3
_chemical_formula_sum 'Mn1 Be1 In3'
_cell_length_a 4.884
_cell_length_b 4.884
_cell_length_c 4.884
_cell_angle_alpha 90.00
_cell_angle_beta 90.00
_cell_angle_gamma 90.00
_space_group_name_H-M_alt 'P m -3 m'
_space_group_IT_number 221
_space_group_name_Hall '-P 4 2 3'
loop_
_atom_site_label
_atom_site_fract_x
_atom_site_fract_y
_atom_site_fract_z
Mn1 0.000 0.000 0.000
Be1 0.500 0.500 0.500
In1 0.000 0.500 0.500
# final energy: -3.62 eV/atom
# polymorph energy (0 for the lowest one): 0.000 eV per atom


Entry 22:
# MnBeIn4, relaxed, DFT GGA-PBE
data_MnBeIn4
_chemical_formula_sum 'Mn4 Be4 In16'
_cell_length_a 8.410
_cell_length_b 8.410
_cell_length_c 8.410
_cell_angle_alpha 90.00
_cell_angle_beta 90.00
_cell_angle_gamma 90.00
_space_group_name_H-M_alt 'F -4 3 m'
_space_group_IT_number 216
_space_group_name_Hall 'F -4 2 3'
loop_
_atom_site_label
_atom_site_fract_x
_atom_site_fract_y
_atom_site_fract_z
Mn1 0.000 0.000 0.000
Be1 0.250 0.250 0.750
In1 0.125 0.125 0.375
# final energy: -3.18 eV/atom


Entry 23:
# MnBeIn, relaxed, DFT GGA-PBE
data_MnBeIn
_chemical_formula_sum 'Mn2 Be2 In2'
_cell_length_a 2.923
_cell_length_b 2.923
_cell_length_c 10.050
_cell_angle_alpha 90.00
_cell_angle_beta 90.00
_cell_angle_gamma 90.00
_space_group_name_H-M_alt 'I 4 m m'
_space_group_IT_number 107
_space_group_name_Hall 'I 4 -2'
loop_
_atom_site_label
_atom_site_fract_x
_atom_site_fract_y
_atom_site_fract_z
Mn1 0.000 0.000 0.000
Be1 0.000 0.000 0.612
In1 0.000 0.000 0.306
# final energy: -4.92 eV/atom
# polymorph energy (0 for the lowest one): 0.000 eV per atom


Entry 24:
# MnBeIn, relaxed, DFT GGA-PBE
data_MnBeIn
_chemical_formula_sum 'Mn1 Be1 In1'
_cell_length_a 4.2042
_cell_length_b 4.2042
_cell_length_c 2.8965
_cell_angle_alpha 90.00
_cell_angle_beta 90.00
_cell_angle_gamma 120.00
_space_group_name_H-M_alt 'P 3 m 1'
_space_group_IT_number 156
loop_
_space_group_symop_operation_xyz
'x,y,z'
'-y,x-y,z'
'-x+y,-x,z'
'-y,-x,z'
'-x+y,y,z'
'x,x-y,z'
loop_
_atom_site_label
_atom_site_fract_x
_atom_site_fract_y
_atom_site_fract_z
Mn1 0.0000 0.0000 0.0000
Be1 0.6667 0.3333 0.4368
In1 0.3333 0.6667 0.5154
# final energy: -4.86 eV/atom
# polymorph energy (0 for the lowest one): 0.062 eV per atom


Entry 25:
# MnBe4In, relaxed, DFT GGA-PBE
data_MnBe4In
_chemical_formula_sum 'Mn4 Be16 In4'
_cell_length_a 6.324
_cell_length_b 6.324
_cell_length_c 6.324
_cell_angle_alpha 90.00
_cell_angle_beta 90.00
_cell_angle_gamma 90.00
_space_group_name_H-M_alt 'F -4 3 m'
_space_group_IT_number 216
_space_group_name_Hall 'F -4 2 3'
loop_
_atom_site_label
_atom_site_fract_x
_atom_site_fract_y
_atom_site_fract_z
Mn1 0.000 0.000 0.000
Be1 0.128 0.128 0.628
In1 0.250 0.250 0.250
# final energy: -4.37 eV/atom


Entry 26:
# MnBeIn, relaxed, DFT GGA-PBE
data_MnBeIn
_chemical_formula_sum 'Mn4 Be4 In4'
_cell_length_a 5.803
_cell_length_b 5.803
_cell_length_c 5.803
_cell_angle_alpha 90.00
_cell_angle_beta 90.00
_cell_angle_gamma 90.00
_space_group_name_H-M_alt 'F -4 3 m'
_space_group_IT_number 216
_space_group_name_Hall 'F -4 2 3'
loop_
_atom_site_label
_atom_site_fract_x
_atom_site_fract_y
_atom_site_fract_z
Mn1 0.000 0.000 0.000
Be1 0.250 0.250 0.750
In1 0.000 0.000 0.500
# final energy: -4.90 eV/atom
# polymorph energy (0 for the lowest one): 0.021 eV per atom


ΔH_f (0 K) (eV per atom)
0.34, 0.20, 0.31, 0.50, 0.49, 0.27, 0.48, 0.46, 0.49, 0.46, 0.44, 1.40, 0.60, -0.03, 1.59, 0.14, 0.81, 1.35, 1.32, 0.80, 0.60, 0.80, 0.29, 0.35, 0.10, 0.31